No. 1
! LiInPb2 PBE relaxed; values from VASP
! **Crystal system**: orthorhombic
! **DFT formation energy**: -0.4 eV/f.u.
! **Electronic total energy**: -3.1272 eV/atom
! **Total magnetization**: 0.00 μB per cell
! **Space group**: Immm (71)
&SYSTEM
  ibrav = 0, nat = 4, ntyp = 3
/
ATOMIC_SPECIES
Li 6.94 Li.upf
In 114.82 In.upf
Pb 207.20 Pb.upf
ATOMIC_POSITIONS angstrom
Li 0.0000 0.0000 0.0000
In 0.0000 0.0000 4.6592
Pb 2.4020 0.0000 2.3288
Pb 0.0000 2.4079 2.3304
CELL_PARAMETERS angstrom
-2.4020 2.4079 4.6592
2.4020 -2.4079 4.6592
2.4020 2.4079 -4.6592

=====

No. 2
! LiIn2Pb PBE relaxed; values from VASP
! **Crystal system**: orthorhombic
! **DFT formation energy**: -0.4 eV/f.u.
! **Electronic total energy**: -2.8764 eV/atom
! **Total magnetization**: 0.00 μB per cell
! **Space group**: Cmmm (65)
&SYSTEM
  ibrav = 0, nat = 4, ntyp = 3
/
ATOMIC_SPECIES
Li 6.94 Li.upf
In 114.82 In.upf
Pb 207.20 Pb.upf
ATOMIC_POSITIONS angstrom
Li 0.0000 0.0000 0.0000
In 2.3781 0.0000 1.8826
In 2.3781 0.0000 6.9846
Pb 0.0000 0.0000 4.4336
CELL_PARAMETERS angstrom
2.3781 -2.3839 0.0000
2.3781 2.3839 0.0000
0.0000 0.0000 8.8672

=====

No. 3
! LiIn2Pb4 PBE relaxed; values from VASP
! **Crystal system**: orthorhombic
! **DFT formation energy**: 0.4 eV/f.u.
! **Electronic total energy**: -3.1108 eV/atom
! **Total magnetization**: 0.00 μB per cell
! **Space group**: Cmmm (65)
&SYSTEM
  ibrav = 0, nat = 7, ntyp = 3
/
ATOMIC_SPECIES
Li 6.94 Li.upf
In 114.82 In.upf
Pb 207.20 Pb.upf
ATOMIC_POSITIONS angstrom
Li 0.0000 0.0000 0.0000
In 2.4465 3.8769 2.4020
In 2.4465 -3.8769 2.4020
Pb 2.4465 7.6629 2.4020
Pb 2.4465 1.7892 0.0000
Pb 2.4465 -1.7892 0.0000
Pb 2.4465 -7.6629 2.4020
CELL_PARAMETERS angstrom
2.4465 -9.3940 0.0000
2.4465 9.3940 0.0000
0.0000 0.0000 4.8040

=====

No. 4
! LiInPb2 PBE relaxed; values from VASP
! **Crystal system**: tetragonal
! **DFT formation energy**: -0.4 eV/f.u.
! **Electronic total energy**: -3.1277 eV/atom
! **Total magnetization**: 0.00 μB per cell
! **Space group**: I-4m2 (119)
&SYSTEM
  ibrav = 0, nat = 4, ntyp = 3
/
ATOMIC_SPECIES
Li 6.94 Li.upf
In 114.82 In.upf
Pb 207.20 Pb.upf
ATOMIC_POSITIONS angstrom
Li 0.0000 0.0000 0.0000
In 0.0000 2.3233 2.4863
Pb 2.3233 0.0000 2.4863
Pb 0.0000 0.0000 4.9727
CELL_PARAMETERS angstrom
-2.3233 2.3233 4.9727
2.3233 -2.3233 4.9727
2.3233 2.3233 -4.9727

=====

No. 5
! LiIn2Pb PBE relaxed; values from VASP
! **Crystal system**: monoclinic
! **DFT formation energy**: -0.4 eV/f.u.
! **Electronic total energy**: -2.8797 eV/atom
! **Total magnetization**: 0.00 μB per cell
! **Space group**: Cm (8)
&SYSTEM
  ibrav = 0, nat = 4, ntyp = 3
/
ATOMIC_SPECIES
Li 6.94 Li.upf
In 114.82 In.upf
Pb 207.20 Pb.upf
ATOMIC_POSITIONS angstrom
Li 0.0000 0.0000 0.0000
In 4.6221 0.0000 2.7163
In 7.4244 0.0000 1.3623
Pb 1.8007 0.0000 4.3000
CELL_PARAMETERS angstrom
5.1867 -1.7397 0.0000
5.1867 1.7397 0.0000
-1.0925 0.0000 5.6571

=====

No. 6
! Li3In3Pb PBE relaxed; values from VASP
! **Crystal system**: cubic
! **DFT formation energy**: 2.3 eV/f.u.
! **Electronic total energy**: -2.2000 eV/atom
! **Total magnetization**: 0.00 μB per cell
! **Space group**: Pm-3n (223)
&SYSTEM
  ibrav = 0, nat = 14, ntyp = 3
/
ATOMIC_SPECIES
Li 6.94 Li.upf
In 114.82 In.upf
Pb 207.20 Pb.upf
ATOMIC_POSITIONS angstrom
Li 0.0000 1.8416 3.6833
Li 0.0000 5.5249 3.6833
Li 1.8416 3.6833 0.0000
Li 3.6833 0.0000 1.8416
Li 3.6833 0.0000 5.5249
Li 5.5249 3.6833 0.0000
In 0.0000 3.6833 1.8416
In 0.0000 3.6833 5.5249
In 1.8416 0.0000 3.6833
In 3.6833 1.8416 0.0000
In 3.6833 5.5249 0.0000
In 5.5249 0.0000 3.6833
Pb 0.0000 0.0000 0.0000
Pb 3.6833 3.6833 3.6833
CELL_PARAMETERS angstrom
7.3666 0.0000 0.0000
0.0000 7.3666 0.0000
0.0000 0.0000 7.3666